BaZr2Ru: optimized geometry, PBE-GGA.

```
4
Lattice="5.597 0.000 0.000 0.000 3.224 0.000 -2.768 0.000 5.194" Properties=species:S:1:pos:R:3 pbc="T T T"
Ba 0.000 0.000 0.000
Zr -1.384 0.000 2.597
Zr 1.415 1.612 2.597
Ru 2.798 1.612 0.000
```

* calculated density: 7.5 g/cm3
* density of states at the Fermi level: 1.578 states/eV/atom
* volume: 93.72 Å³ per cell
* total magnetization: 0.001 μB per cell
* calculated formation energy: 706.6 meV/atom